The following is a PBE calculation of a relaxed SbMoRh crystal, from Alexandria via LeMat-Bulk.

Output
Its crystal system is orthorhombic. The calculated total energy is -0.536 Ry/atom. Its space group is Imm2. For the calculated volume, the calculation gives 17.071 Å³/atom. The uncorrected formation energy comes out at 0.142 eV/atom.

extended XYZ file:
```
3
Lattice="4.927 0.006 -0.002 2.355 4.327 0.002 -3.263 -2.802 2.403" Properties=species:S:1:pos:R:3 pbc="T T T"
Sb 4.859 2.892 0.000
Rh 2.475 1.473 0.000
Mo 7.229 4.303 0.000
```